1.
A relaxed Rb2SrCl crystal. Source: Alexandria via LeMat-Bulk, functional PBE.

Structure (POSCAR):
```
Rb2SrCl
1.0
0.000 4.962 4.962
4.962 0.000 4.962
4.962 4.962 0.000
Sr Rb Cl
1 2 1
Cartesian
4.962 4.962 4.962 Sr
2.481 2.481 2.481 Rb
7.443 7.443 7.443 Rb
0.000 0.000 0.000 Cl
```

Calculated values
* calculated volume: 61.09 A^3/atom
* distance to the lowest polymorph of the same formula: 47.2 kJ per mole of atoms
* calculated total energy: -1.698 eV per atom
* raw formation energy: -0.332 eV per atom

2.
A relaxed Sc4AlS2 crystal. Source: Alexandria via LeMat-Bulk, functional PBE.

Structure (POSCAR):
```
Sc4AlS2
1.0
-2.451 0.461 -2.662
5.437 -1.820 -2.822
-3.454 -12.019 1.098
Sc S Al
8 4 2
Cartesian
0.622 -2.052 -3.428 Sc
-0.282 -5.201 -3.141 Sc
-1.091 -11.325 -0.958 Sc
-0.186 -8.176 -1.245 Sc
-0.223 -10.140 -4.051 Sc
-0.245 -3.238 -0.335 Sc
-1.226 0.231 -1.331 Sc
-2.952 -5.779 -0.782 Sc
-0.386 -5.739 -0.639 S
-1.407 -12.247 -3.326 S
0.938 -1.131 -1.060 S
-0.082 -7.639 -3.747 S
-2.933 -9.117 -1.378 Al
2.465 -4.261 -3.008 Al
```

Calculated values
* calculated volume: 20.03 A^3/atom
* calculated total energy: -6.551 eV per atom
* raw formation energy: -1.219 eV per atom

3.
A relaxed Li2LaHo2Sb2 crystal. Source: Alexandria via LeMat-Bulk, functional PBE.

Structure (POSCAR):
```
Li2LaHo2Sb2
1.0
-3.501 -0.685 3.178
-2.241 -4.214 0.214
4.135 -4.543 7.168
Li La Ho Sb
2 1 2 2
Cartesian
-2.357 -3.974 3.730 Li
0.750 -5.468 6.831 Li
0.000 0.000 0.000 La
1.745 -3.393 4.783 Ho
-3.352 -6.049 5.778 Ho
-1.046 -7.158 8.079 Sb
-0.561 -2.284 2.481 Sb
```

Calculated values
* calculated volume: 25.50 A^3/atom
* calculated total energy: -4.326 eV per atom
* raw formation energy: -0.590 eV per atom

4.
A relaxed SmSi4OsRu2 crystal. Source: Alexandria via LeMat-Bulk, functional PBE.

Structure (POSCAR):
```
SmSi4OsRu2
1.0
4.117 0.000 0.000
2.058 3.565 0.000
2.058 1.188 8.559
Sm Si Os Ru
1 4 1 2
Cartesian
0.000 0.000 0.000 Sm
4.117 2.377 6.772 Si
6.175 3.565 3.379 Si
2.058 1.188 5.180 Si
4.117 2.377 1.787 Si
4.117 2.377 4.280 Os
6.175 3.565 5.986 Ru
2.058 1.188 2.574 Ru
```

Calculated values
* calculated volume: 15.70 A^3/atom
* calculated total energy: -7.612 eV per atom
* raw formation energy: -0.588 eV per atom

5.
A relaxed Al3Re crystal. Source: Alexandria via LeMat-Bulk, functional PBE.

Structure (POSCAR):
```
Al3Re
1.0
2.873 0.000 0.000
-1.437 2.488 0.000
0.000 0.000 8.710
Re Al
1 3
Cartesian
1.437 0.829 6.533 Re
0.000 0.000 8.595 Al
0.000 0.000 4.470 Al
1.437 0.829 2.178 Al
```

Calculated values
* calculated volume: 15.57 A^3/atom
* calculated total energy: -5.911 eV per atom
* energy of formation: 0.01 eV/atom

6.
A relaxed LiAlFe3 crystal. Source: Alexandria via LeMat-Bulk, functional PBE.

Structure (POSCAR):
```
LiAlFe3
1.0
4.451 0.000 0.000
0.000 4.451 0.000
0.000 0.000 4.451
Li Fe Al
1 3 1
Cartesian
2.226 2.226 2.226 Li
0.000 2.226 0.000 Fe
0.000 0.000 2.226 Fe
2.226 0.000 0.000 Fe
0.000 0.000 0.000 Al
```

Calculated values
* calculated volume: 17.64 A^3/atom
* distance to the lowest polymorph of the same formula: 23.1 kJ per mole of atoms
* calculated total energy: -5.194 eV per atom
* energy of formation: 1.01 eV/atom

7.
A relaxed RbAsPt2 crystal. Source: Alexandria via LeMat-Bulk, functional PBE.

Structure (POSCAR):
```
RbAsPt2
1.0
-1.784 2.756 2.779
-3.943 -4.174 1.607
10.500 -5.311 11.968
Rb As Pt
4 4 8
Cartesian
-3.319 -1.568 4.408 Rb
2.835 -5.589 8.998 Rb
8.091 -5.160 11.947 Rb
1.937 -1.139 7.356 Rb
0.506 -4.428 6.370 As
4.266 -2.301 9.984 As
-0.105 -1.037 2.615 As
4.878 -5.692 13.739 As
2.171 -0.645 3.690 Pt
-1.172 -2.653 6.862 Pt
5.944 -4.075 9.492 Pt
4.572 -3.995 11.862 Pt
4.984 -6.672 11.452 Pt
0.201 -2.733 4.492 Pt
2.601 -6.083 12.664 Pt
-0.212 -0.056 4.903 Pt
```

Calculated values
* calculated volume: 26.90 A^3/atom
* distance to the lowest polymorph of the same formula: 0.0 kJ per mole of atoms
* calculated total energy: -4.820 eV per atom
* energy of formation: -0.40 eV/atom

8.
A relaxed Rb2CuH2Cl6 crystal. Source: Alexandria via LeMat-Bulk, functional PBE.

Structure (POSCAR):
```
Rb2CuH2Cl6
1.0
6.613 0.000 0.000
3.306 5.727 0.000
3.306 1.909 6.590
Rb Cu H Cl
2 1 2 6
Cartesian
9.919 5.727 4.537 Rb
3.306 1.909 2.054 Rb
0.000 0.000 0.000 Cu
6.613 3.818 5.212 H
6.613 3.818 1.379 H
8.200 4.734 1.476 Cl
5.025 4.734 1.476 Cl
6.613 1.985 1.476 Cl
6.613 5.651 5.115 Cl
8.200 2.901 5.115 Cl
5.025 2.901 5.115 Cl
```

Calculated values
* calculated volume: 22.69 A^3/atom
* calculated total energy: -3.008 eV per atom

9.
A relaxed Tb7Mg2Os2 crystal. Source: Alexandria via LeMat-Bulk, functional PBE.

Structure (POSCAR):
```
Tb7Mg2Os2
1.0
6.798 -0.003 -0.743
0.003 7.289 0.003
-1.165 -0.002 6.738
Tb Mg Os
7 2 2
Cartesian
6.216 1.773 2.627 Tb
2.236 5.508 6.369 Tb
-0.580 5.511 3.372 Tb
3.400 1.776 -0.371 Tb
0.000 0.000 0.000 Tb
2.819 5.583 3.000 Tb
2.817 1.701 2.998 Tb
4.660 3.640 4.960 Mg
0.976 3.644 1.039 Mg
4.503 7.287 1.419 Os
1.133 -0.002 4.579 Os
```

Calculated values
* calculated volume: 29.78 A^3/atom
* calculated total energy: -5.303 eV per atom
* energy of formation: -0.02 eV/atom

10.
A relaxed CaReN3 crystal. Source: Alexandria via LeMat-Bulk, functional PBE.

Structure (POSCAR):
```
CaReN3
1.0
3.382 -1.953 0.000
0.000 3.905 0.000
0.000 0.000 8.094
Re Ca N
2 2 6
Cartesian
0.000 0.000 0.000 Re
0.000 0.000 4.047 Re
1.127 1.953 6.070 Ca
2.255 0.000 2.023 Ca
0.000 0.000 2.023 N
0.000 0.000 6.070 N
1.127 1.953 0.276 N
1.127 1.953 3.770 N
2.255 0.000 4.323 N
2.255 0.000 7.817 N
```

Calculated values
* calculated volume: 10.69 A^3/atom
* calculated total energy: -7.654 eV per atom
* raw formation energy: 0.231 eV per atom

11.
A relaxed SrZnCr2 crystal. Source: Alexandria via LeMat-Bulk, functional PBE.

Structure (POSCAR):
```
SrZnCr2
1.0
4.574 0.000 0.000
0.000 3.082 0.021
0.000 1.146 5.928
Cr Sr Zn
2 1 1
Cartesian
0.000 3.967 5.204 Cr
0.000 2.375 3.719 Cr
2.287 1.057 1.487 Sr
2.287 3.171 4.462 Zn
```

Calculated values
* calculated volume: 20.86 A^3/atom
* calculated total energy: -4.857 eV per atom
* energy of formation: 0.69 eV/atom

12.
A relaxed PrMg11 crystal. Source: Alexandria via LeMat-Bulk, functional PBE.

Structure (POSCAR):
```
PrMg11
1.0
7.199 0.000 3.283
3.599 8.611 1.641
0.026 0.000 9.476
Pr Mg
2 22
Cartesian
3.599 0.000 1.641 Pr
3.613 4.305 6.380 Pr
6.072 7.119 6.714 Mg
5.478 1.492 8.017 Mg
0.000 0.000 0.000 Mg
7.212 4.305 8.021 Mg
5.419 6.458 9.569 Mg
9.005 6.458 6.473 Mg
7.219 2.153 10.390 Mg
7.205 2.153 5.652 Mg
4.608 3.589 9.926 Mg
2.486 5.797 9.811 Mg
5.465 2.814 3.279 Mg
6.943 5.022 4.806 Mg
7.481 5.022 11.236 Mg
2.617 3.589 2.833 Mg
1.760 2.814 9.480 Mg
4.739 5.797 2.948 Mg
2.631 0.716 7.571 Mg
8.351 7.119 9.328 Mg
1.747 1.492 4.742 Mg
3.869 7.895 4.857 Mg
3.357 7.895 7.902 Mg
4.595 0.716 5.188 Mg
```

Calculated values
* calculated volume: 24.44 A^3/atom
* calculated total energy: -1.878 eV per atom
* energy of formation: -0.02 eV/atom